# 1
DFT (PBE-GGA) results for a relaxed structure of Ba2Li3PaF12.

```
data_Ba2Li3PaF12
_chemical_formula_sum 'Ba2 Li3 Pa1 F12'
_cell_length_a 7.0917
_cell_length_b 7.0917
_cell_length_c 7.0917
_cell_angle_alpha 58.80
_cell_angle_beta 58.80
_cell_angle_gamma 58.80
_symmetry_space_group_name_H-M 'P 1'
_symmetry_Int_Tables_number 1
loop_
_symmetry_equiv_pos_as_xyz
'x,y,z'
loop_
_atom_site_label
_atom_site_type_symbol
_atom_site_fract_x
_atom_site_fract_y
_atom_site_fract_z
Ba1 Ba 0.6001 0.6001 0.6001
Ba2 Ba 0.3999 0.3999 0.3999
Li1 Li 0.5000 0.0000 0.0000
Li2 Li 0.0000 0.5000 0.0000
Li3 Li 0.0000 0.0000 0.5000
Pa1 Pa 0.0000 0.0000 0.0000
F1 F 0.2558 0.2558 0.8646
F2 F 0.8550 0.8550 0.3960
F3 F 0.3960 0.8550 0.8550
F4 F 0.8646 0.2558 0.2558
F5 F 0.8550 0.3960 0.8550
F6 F 0.2558 0.8646 0.2558
F7 F 0.7442 0.7442 0.1354
F8 F 0.1450 0.1450 0.6040
F9 F 0.6040 0.1450 0.1450
F10 F 0.1354 0.7442 0.7442
F11 F 0.1450 0.6040 0.1450
F12 F 0.7442 0.1354 0.7442
```

Summary:
- D(E_F) (states/eV per cell) = 0.00
- energy (Ry per atom) = -0.42098
- symmetry = No. 166
- energy relative to the elements, uncorrected (eV/atom) = -3.420
- ρ (g/cm3) = 5.11


# 2
DFT (PBE-GGA) results for a relaxed structure of TcNiIr2.

```
data_TcNiIr2
_chemical_formula_sum 'Tc1 Ni1 Ir2'
_cell_length_a 4.6391
_cell_length_b 4.6391
_cell_length_c 2.7065
_cell_angle_alpha 90.00
_cell_angle_beta 90.00
_cell_angle_gamma 108.91
_symmetry_space_group_name_H-M 'P 1'
_symmetry_Int_Tables_number 1
loop_
_symmetry_equiv_pos_as_xyz
'x,y,z'
loop_
_atom_site_label
_atom_site_type_symbol
_atom_site_fract_x
_atom_site_fract_y
_atom_site_fract_z
Ir1 Ir 0.0000 0.0000 0.0000
Ir2 Ir 0.5000 0.5000 0.0000
Ni1 Ni 0.5000 0.0000 0.5000
Tc1 Tc 0.0000 0.5000 0.5000
```

Summary:
- D(E_F) (states/eV per cell) = 5.38
- energy (Ry per atom) = -0.62336
- symmetry = No. 65
- ρ (g/cm3) = 16.31
- formation energy (eV per atom) = -0.014
- E above lowest polymorph (kJ/mol of atoms) = 10.4